VASP calculation (GGA+U) on a relaxed Rb2Co3CuF12 crystal.

POSCAR file:
```
Rb2Co3CuF12
1.0
7.332 0.040 0.028
3.656 6.356 0.028
3.656 2.128 5.989
Rb Co Cu F
2 3 1 12
Direct
0.627 0.627 0.627 Rb
0.373 0.373 0.373 Rb
0.500 0.000 0.000 Co
0.000 0.500 0.000 Co
0.000 0.000 0.500 Co
0.000 0.000 0.000 Cu
0.322 0.322 0.932 F
0.931 0.931 0.318 F
0.318 0.931 0.931 F
0.932 0.322 0.322 F
0.931 0.318 0.931 F
0.322 0.932 0.322 F
0.678 0.678 0.068 F
0.069 0.069 0.682 F
0.682 0.069 0.069 F
0.068 0.678 0.678 F
0.069 0.682 0.069 F
0.678 0.068 0.678 F
```

Properties
**Space group**: R-3m, No. 166
**M_tot**: 8.69 μB/cell
**DOS(E_F)**: 0.435 states/eV/atom
**E_tot**: -82.2 eV for the cell shown